[1]
Below is an optimized crystal structure of Ta2AgPt, with properties calculated at the PBE level.

a b c (Å): 4.0358 4.0358 4.1729
angles (deg): 90.00 90.00 90.00
Atoms (fractional coordinates):
Ta (0.0000, 0.5000, 0.0000)
Ta (0.5000, 0.0000, 0.0000)
Ag (0.0000, 0.0000, 0.5000)
Pt (0.5000, 0.5000, 0.5000)

Computed properties:
Symmetry: P4/mmm
Total energy: -0.607 Ry per atom
Magnetization: 0.000 μB/f.u.



[2]
Below is an optimized crystal structure of Rb3Tb2HoSe6, with properties calculated at the PBE level.

a b c (Å): 7.3566 7.3566 8.3630
angles (deg): 98.43 98.43 120.00
Atoms (fractional coordinates):
Rb (0.0000, 0.0000, 0.0000)
Rb (0.3328, 0.6672, 0.0000)
Rb (0.6672, 0.3328, 0.0000)
Tb (0.1666, 0.8334, 0.5000)
Tb (0.8334, 0.1666, 0.5000)
Ho (0.5000, 0.5000, 0.5000)
Se (0.1035, 0.4348, 0.3043)
Se (0.2341, 0.2341, 0.6959)
Se (0.4348, 0.1035, 0.3043)
Se (0.5652, 0.8965, 0.6957)
Se (0.7659, 0.7659, 0.3041)
Se (0.8965, 0.5652, 0.6957)

Computed properties:
Symmetry: C2/m
Magnetization: 0.000 μB/f.u.
Formation energy from raw total energies: -1.7402 eV per atom